Material: Be2SnOsCl
Method: DFT, PBE-GGA
State: optimized geometry Values from VASP.

Results
Raw formation energy (eV/atom): 1.761
Relative energy among the computed polymorphs (meV per atom): 535
M_tot (μB/atom): 0.609
SG: P4/mmm
Total DFT energy (no corrections) (Ry per atom): -0.231
V (Å³ per cell): 111.5

```
&SYSTEM
  ibrav = 0, nat = 5, ntyp = 4
/
ATOMIC_SPECIES
Be 9.01 Be.upf
Sn 118.71 Sn.upf
Os 190.23 Os.upf
Cl 35.45 Cl.upf
CELL_PARAMETERS angstrom
4.6332 0.0000 0.0000
0.0000 4.6332 0.0000
0.0000 0.0000 5.1941
ATOMIC_POSITIONS crystal
Be 0.0000 0.5000 0.0000
Be 0.5000 0.0000 0.0000
Sn 0.0000 0.0000 0.0000
Os 0.5000 0.5000 0.5000
Cl 0.0000 0.0000 0.5000
```

***

Material: TaBe2OsCl
Method: DFT, PBE-GGA
State: optimized geometry Values from VASP.

Results
Raw formation energy (eV/atom): 1.934
M_tot (μB/atom): 0.459
SG: P4/mmm
Total DFT energy (no corrections) (Ry per atom): -0.334
V (Å³ per cell): 94.4

```
&SYSTEM
  ibrav = 0, nat = 5, ntyp = 4
/
ATOMIC_SPECIES
Ta 180.95 Ta.upf
Be 9.01 Be.upf
Os 190.23 Os.upf
Cl 35.45 Cl.upf
CELL_PARAMETERS angstrom
4.5870 0.0000 0.0000
0.0000 4.5870 0.0000
0.0000 0.0000 4.4848
ATOMIC_POSITIONS crystal
Ta 0.0000 0.0000 0.0000
Be 0.0000 0.5000 0.0000
Be 0.5000 0.0000 0.0000
Os 0.5000 0.5000 0.5000
Cl 0.0000 0.0000 0.5000
```

***

Material: BePCl
Method: DFT, PBE-GGA
State: optimized geometry Values from VASP.

Results
Raw formation energy (eV/atom): 0.244
Relative energy among the computed polymorphs (meV per atom): 408
M_tot (μB/atom): 0.000
SG: I4mm
Total DFT energy (no corrections) (Ry per atom): -0.251
V (Å³ per cell): 112.0

```
&SYSTEM
  ibrav = 0, nat = 6, ntyp = 3
/
ATOMIC_SPECIES
Be 9.01 Be.upf
P 30.97 P.upf
Cl 35.45 Cl.upf
CELL_PARAMETERS angstrom
2.8128 0.0000 0.0000
0.0000 2.8128 0.0000
0.0000 0.0000 14.1503
ATOMIC_POSITIONS crystal
Be 0.0000 0.0000 0.0000
Be 0.5000 0.5000 0.5000
P 0.0000 0.0000 0.3817
P 0.5000 0.5000 0.8817
Cl 0.0000 0.0000 0.5959
Cl 0.5000 0.5000 0.0959
```

***

Material: BePCl2
Method: DFT, PBE-GGA
State: optimized geometry Values from VASP.

Results
Raw formation energy (eV/atom): 0.473
Relative energy among the computed polymorphs (meV per atom): 917
M_tot (μB/atom): 0.000
SG: Pmmm
Total DFT energy (no corrections) (Ry per atom): -0.201
V (Å³ per cell): 69.4

```
&SYSTEM
  ibrav = 0, nat = 4, ntyp = 3
/
ATOMIC_SPECIES
Be 9.01 Be.upf
P 30.97 P.upf
Cl 35.45 Cl.upf
CELL_PARAMETERS angstrom
3.0747 0.0000 0.0000
0.0000 3.9295 0.0000
0.0000 0.0000 5.7482
ATOMIC_POSITIONS crystal
Be 0.0000 0.0000 0.0000
P 0.5000 0.0000 0.5000
Cl 0.0000 0.5000 0.5000
Cl 0.5000 0.5000 0.0000
```